# 1
Below is crystalline CaLa2Hg at its relaxed geometry, with properties calculated at the PBE-GGA level.

Cell lengths 3.946, 5.262, 6.757 Å; angles 90.00, 102.80, 90.00 degrees
Positions (direct):
Ca 0.000 0.000 0.000
La 0.401 0.500 0.716
La 0.599 0.500 0.284
Hg 0.000 0.000 0.500

Calculated values
- ΔE_f (eV per atom) = -0.145
- symmetry = No. 10
- DOS(E_F) (states/eV/f.u.) = 4.47
- M_tot (μB/cell) = 0.0

# 2
Below is crystalline GaSn2Se2 at its relaxed geometry, with properties calculated at the PBE-GGA level.

Cell lengths 5.953, 5.953, 5.953 Å; angles 122.48, 122.48, 85.76 degrees
Positions (direct):
Ga 0.000 0.000 0.000
Sn 0.323 0.323 0.000
Sn 0.677 0.677 0.000
Se 0.250 0.750 0.500
Se 0.750 0.250 0.500

Calculated values
- distance to the lowest polymorph of the same formula (eV/atom) = 0.026
- symmetry = No. 139
- DOS(E_F) (states/eV/f.u.) = 2.42
- M_tot (μB/cell) = 0.0
- formation energy without anion corrections (meV per atom) = -129

# 3
Below is crystalline PmNbO at its relaxed geometry, with properties calculated at the PBE-GGA level.

Cell lengths 3.188, 3.188, 11.783 Å; angles 90.00, 90.00, 120.00 degrees
Positions (direct):
Pm 0.000 0.000 0.142
Pm 0.000 0.000 0.858
Nb 0.667 0.333 0.378
Nb 0.667 0.333 0.622
O 0.000 0.000 0.500
O 0.667 0.333 0.000

Calculated values
- symmetry = No. 187
- DOS(E_F) (states/eV/f.u.) = 2.33
- M_tot (μB/cell) = 0.0
- formation energy without anion corrections (meV per atom) = -1097

# 4
Below is crystalline BaBPS2 at its relaxed geometry, with properties calculated at the PBE-GGA level.

Cell lengths 4.969, 4.969, 3.967 Å; angles 90.00, 90.00, 90.00 degrees
Positions (direct):
Ba 0.000 0.000 0.000
B 0.500 0.500 0.500
P 0.500 0.500 0.000
S 0.000 0.500 0.500
S 0.500 0.000 0.500

Calculated values
- distance to the lowest polymorph of the same formula (eV/atom) = 0.000
- symmetry = No. 123
- DOS(E_F) (states/eV/f.u.) = 1.10
- M_tot (μB/cell) = 0.0
- formation energy without anion corrections (meV per atom) = -145

# 5
Below is crystalline Zr2CdCl at its relaxed geometry, with properties calculated at the PBE-GGA level.

Cell lengths 10.736, 10.736, 10.736 Å; angles 17.85, 17.85, 17.85 degrees
Positions (direct):
Zr 0.000 0.000 0.000
Zr 0.257 0.257 0.257
Cd 0.747 0.747 0.747
Cl 0.533 0.533 0.533

Calculated values
- distance to the lowest polymorph of the same formula (eV/atom) = 0.000
- symmetry = No. 160
- DOS(E_F) (states/eV/f.u.) = 3.51
- M_tot (μB/cell) = 0.3
- formation energy without anion corrections (meV per atom) = -519

# 6
Below is crystalline Cr2PtRh at its relaxed geometry, with properties calculated at the PBE-GGA level.

Cell lengths 4.720, 4.720, 4.563 Å; angles 106.31, 106.31, 33.90 degrees
Positions (direct):
Cr 0.000 0.000 0.000
Cr 0.706 0.706 0.277
Pt 0.239 0.239 0.792
Rh 0.462 0.462 0.469

Calculated values
- ΔE_f (eV per atom) = -0.094
- symmetry = No. 8
- DOS(E_F) (states/eV/f.u.) = 3.62
- M_tot (μB/cell) = 0.2

# 7
Below is crystalline LiAlRh2 at its relaxed geometry, with properties calculated at the PBE-GGA level.

Cell lengths 4.273, 4.273, 4.273 Å; angles 60.00, 60.00, 60.00 degrees
Positions (direct):
Li 0.000 0.000 0.000
Al 0.250 0.250 0.250
Rh 0.500 0.500 0.500
Rh 0.750 0.750 0.750

Calculated values
- ΔE_f (eV per atom) = -0.399
- symmetry = No. 216
- DOS(E_F) (states/eV/f.u.) = 3.53
- M_tot (μB/cell) = 1.1

# 8
Below is crystalline Ba3Ca2Mg7 at its relaxed geometry, with properties calculated at the PBE-GGA level.

Cell lengths 11.429, 11.429, 11.429 Å; angles 34.25, 34.25, 34.25 degrees
Positions (direct):
Ba 0.000 0.000 0.000
Ba 0.139 0.139 0.139
Ba 0.861 0.861 0.861
Ca 0.333 0.333 0.333
Ca 0.667 0.667 0.667
Mg 0.087 0.586 0.586
Mg 0.414 0.414 0.913
Mg 0.414 0.913 0.414
Mg 0.500 0.500 0.500
Mg 0.586 0.087 0.586
Mg 0.586 0.586 0.087
Mg 0.913 0.414 0.414

Calculated values
- ΔE_f (eV per atom) = -0.046
- symmetry = No. 166
- DOS(E_F) (states/eV/f.u.) = 12.98
- M_tot (μB/cell) = 0.0